VASP calculation (PBE-GGA) on a relaxed ZrTa2 crystal.

The space group is Immm (No. 71) and the conventional cell measures 2.854, 4.836 and 8.601 Å, with angles of 90.00, 90.00 and 90.00 degrees. Symmetry generates all atoms from Zr at (0.000, 0.000, 0.000) and Ta at (0.000, 0.000, 0.333).

As for the magnetization: 0.000 μB per atom. The value obtained for the total DFT energy (no corrections) is -63.2 eV for the cell shown. The offset from the most stable computed form is 186 meV per atom. For the formation enthalpy at 0 K, the calculation gives 0.22 eV per atom.

---

VASP calculation (PBE-GGA) on a relaxed ZrTa crystal.

The space group is P6_3/mmc (No. 194) and the conventional cell measures 4.7528, 4.7528 and 9.0086 Å, with angles of 90.00, 90.00 and 120.00 degrees. Symmetry generates all atoms from Zr at (0.3333, 0.6667, 0.0822), Ta at (0.0000, 0.0000, 0.2500) and Ta at (0.3333, 0.6667, 0.7500).

As for the magnetization: 0.000 μB per atom. The value obtained for the total DFT energy (no corrections) is -78.7 eV for the cell shown. For the formation enthalpy at 0 K, the calculation gives 0.36 eV per atom.

---

VASP calculation (PBE-GGA) on a relaxed ZrTa crystal.

The space group is P-3m1 (No. 164) and the conventional cell measures 2.9955, 2.9955 and 10.6576 Å, with angles of 90.00, 90.00 and 120.00 degrees. Symmetry generates all atoms from Zr at (0.3333, 0.6667, 0.3660) and Ta at (0.3333, 0.6667, 0.8821).

As for the magnetization: 0.000 μB per atom. The value obtained for the total DFT energy (no corrections) is -39.8 eV for the cell shown. For the formation enthalpy at 0 K, the calculation gives 0.26 eV per atom.

---

VASP calculation (PBE-GGA) on a relaxed Zr5Ta crystal.

The space group is Amm2 (No. 38) and the conventional cell measures 4.866, 3.564 and 15.446 Å, with angles of 90.00, 90.00 and 90.00 degrees. Symmetry generates all atoms from Zr at (0.000, 0.000, 0.000), Zr at (0.000, 0.000, 0.321), Zr at (0.500, 0.000, 0.129), Zr at (0.500, 0.000, 0.457), Zr at (0.500, 0.000, 0.788) and Ta at (0.000, 0.000, 0.663).

As for the magnetization: 0.000 μB per atom. The value obtained for the total DFT energy (no corrections) is -108.2 eV for the cell shown. For the formation enthalpy at 0 K, the calculation gives 0.08 eV per atom.

---

magnetization of number 4 (Zr5Ta)?
0.000 μB per atom

---

What is the total DFT energy (no corrections) in the third record?
-39.8 eV for the cell shown

---

total DFT energy (no corrections) of number 3 (ZrTa)?
-39.8 eV for the cell shown

---

Which value of magnetization does entry 1 give?
0.000 μB per atom